Crystalline TaP2BrO at its relaxed geometry, computed with GGA-PBE.

```
TaP2BrO
1.0
-1.295 -0.826 -4.744
-0.863 -4.793 1.070
-3.718 0.862 0.865
P O Br Ta
2 1 1 1
Direct
0.500 0.000 0.000
0.000 0.500 0.000
0.000 0.000 0.500
0.500 0.500 0.500
0.000 0.000 0.000
```

Results
The value obtained for the raw total energy is -6.1773 eV/atom. The energy relative to the elements, uncorrected comes out at -0.317 eV per atom. The total magnetic moment is 0.00 μB per atom.

Crystalline TaPBrO2 at its relaxed geometry, computed with GGA-PBE.

```
TaPBrO2
1.0
-3.308 0.313 -2.028
-1.494 -3.005 1.973
-1.981 3.455 3.765
Br O P Ta
1 2 1 1
Direct
0.500 0.500 0.500
0.000 0.500 0.000
0.500 0.000 0.000
0.000 0.000 0.500
0.000 0.000 0.000
```

Results
The value obtained for the raw total energy is -7.0904 eV/atom. The energy relative to the elements, uncorrected comes out at -1.320 eV per atom. The total magnetic moment is 0.00 μB per atom.

Crystalline TcPBrO2 at its relaxed geometry, computed with GGA-PBE.

```
TcPBrO2
1.0
-0.445 1.993 3.202
-3.704 0.378 -0.749
-0.973 -4.391 2.598
P Tc Br O
1 1 1 2
Direct
0.000 0.000 0.500
0.000 0.000 0.000
0.500 0.500 0.500
0.500 0.000 0.000
0.000 0.500 0.000
```

Results
The value obtained for the raw total energy is -6.0559 eV/atom. The energy relative to the elements, uncorrected comes out at -0.583 eV per atom. The total magnetic moment is 0.00 μB per atom.

Crystalline TcPBrO2 at its relaxed geometry, computed with GGA-PBE.

```
TcPBrO2
1.0
-2.105 0.385 3.048
-0.058 -3.699 0.427
4.762 0.301 3.250
P Tc O Br
1 1 2 1
Direct
0.000 0.000 0.500
0.500 0.500 0.500
0.500 0.000 0.000
0.000 0.500 0.000
0.000 0.000 0.000
```

Results
The value obtained for the raw total energy is -4.5039 eV/atom. The energy relative to the elements, uncorrected comes out at 0.969 eV per atom. The total magnetic moment is 0.62 μB per atom.

Crystalline TeP2BrO at its relaxed geometry, computed with GGA-PBE.

```
TeP2BrO
1.0
-0.853 -3.917 2.913
2.135 -2.959 -3.353
3.531 0.545 1.767
Te O P Br
1 1 2 1
Direct
0.500 0.500 0.500
0.000 0.000 0.500
0.000 0.500 0.000
0.500 0.000 0.000
0.000 0.000 0.000
```

Results
The value obtained for the raw total energy is -3.1215 eV/atom. The energy relative to the elements, uncorrected comes out at 0.997 eV per atom. The total magnetic moment is 0.00 μB per atom.

Crystalline TePBrO2 at its relaxed geometry, computed with GGA-PBE.

```
TePBrO2
1.0
3.852 0.000 0.000
0.000 3.852 0.000
0.000 0.000 6.004
O Te Br P
2 1 1 1
Direct
0.000 0.500 0.000
0.500 0.000 0.000
0.500 0.500 0.500
0.000 0.000 0.000
0.000 0.000 0.500
```

Results
The value obtained for the raw total energy is -3.3860 eV/atom. The energy relative to the elements, uncorrected comes out at 0.642 eV per atom. The total magnetic moment is 0.00 μB per atom.

Crystalline TePBrO2 at its relaxed geometry, computed with GGA-PBE.

```
TePBrO2
1.0
3.953 0.000 0.000
0.000 3.953 0.000
0.000 0.000 5.655
Te Br P O
1 1 1 2
Direct
0.000 0.000 0.000
0.500 0.500 0.500
0.000 0.000 0.500
0.500 0.000 0.000
0.000 0.500 0.000
```

Results
The value obtained for the raw total energy is -4.1483 eV/atom. The energy relative to the elements, uncorrected comes out at -0.120 eV per atom. The total magnetic moment is 0.00 μB per atom.

Crystalline TeP2BrO at its relaxed geometry, computed with GGA-PBE.

```
TeP2BrO
1.0
5.276 0.000 0.000
0.000 5.276 0.000
0.000 0.000 3.988
P Te Br O
2 1 1 1
Direct
0.000 0.500 0.000
0.500 0.000 0.000
0.000 0.000 0.000
0.500 0.500 0.500
0.000 0.000 0.500
```

Results
The value obtained for the raw total energy is -3.4542 eV/atom. The energy relative to the elements, uncorrected comes out at 0.664 eV per atom. The total magnetic moment is 0.11 μB per atom.